This record from Alexandria describes LaCeCl5 after structural relaxation. The functional is PBE.

Cell lengths 7.6073, 7.6073, 9.7494 Å; angles 72.22, 72.22, 74.94 degrees
Each line ends with the local moment (μB).
Element x y z (fractional)
La: 0.5376 0.4624 0.2500  0.26
La: 0.4624 0.5376 0.7500  0.26
Ce: 0.0000 0.0000 0.0000  1.41
Ce: 0.0000 0.0000 0.5000  1.41
Cl: 0.7827 0.7168 0.1363  -0.01
Cl: 0.3070 0.6673 0.4649  0.00
Cl: 0.7168 0.7827 0.6363  -0.01
Cl: 0.8485 0.1515 0.2500  -0.01
Cl: 0.3327 0.6930 0.0351  0.00
Cl: 0.6673 0.3070 0.9649  0.00
Cl: 0.1515 0.8485 0.7500  -0.01
Cl: 0.2832 0.2173 0.3637  -0.01
Cl: 0.6930 0.3327 0.5351  0.00
Cl: 0.2173 0.2832 0.8637  -0.01

Output
The value obtained for the energy relative to the elements, uncorrected is -2.1047 eV/atom. Its space-group type is C2/c, No. 15.

This record from Alexandria describes GaSnTeI2 after structural relaxation. The functional is PBE.

Cell lengths 5.5656, 5.5656, 5.6085 Å; angles 90.00, 90.00, 90.00 degrees
Element x y z (fractional)
I: 0.0000 0.5000 0.0000
I: 0.5000 0.0000 0.0000
Te: 0.0000 0.0000 0.5000
Sn: 0.5000 0.5000 0.5000
Ga: 0.0000 0.0000 0.0000

Output
The distance to the lowest polymorph of the same formula comes out at 62.7 meV/atom. The value obtained for the energy relative to the elements, uncorrected is 0.0596 eV/atom. Its space-group type is P4/mmm, No. 123.

This record from Alexandria describes KBiN2F after structural relaxation. The functional is PBE.

Cell lengths 4.8423, 4.8423, 4.4679 Å; angles 90.00, 90.00, 90.00 degrees
Each line ends with the local moment (μB).
Element x y z (fractional)
K: 0.0000 0.0000 0.0000  0.10
N: 0.0000 0.5000 0.0000  1.36
N: 0.5000 0.0000 0.0000  1.36
Bi: 0.5000 0.5000 0.5000  -0.73
F: 0.0000 0.0000 0.5000  -0.04

Output
The distance to the lowest polymorph of the same formula comes out at 1098.8 meV/atom. The value obtained for the energy relative to the elements, uncorrected is 1.2621 eV/atom. Its space-group type is P4/mmm, No. 123.

This record from Alexandria describes Th4PdAu after structural relaxation. The functional is PBE.

Cell lengths 5.9431, 7.4346, 7.4346 Å; angles 90.00, 90.00, 90.00 degrees
Element x y z (fractional)
Th: 0.0000 0.1630 0.6560
Th: 0.0000 0.8370 0.3440
Th: 0.0000 0.3440 0.1630
Th: 0.0000 0.6560 0.8370
Th: 0.5000 0.8370 0.6560
Th: 0.5000 0.1630 0.3440
Th: 0.5000 0.6560 0.1630
Th: 0.5000 0.3440 0.8370
Pd: 0.2500 0.5000 0.5000
Pd: 0.7500 0.5000 0.5000
Au: 0.2500 0.0000 0.0000
Au: 0.7500 0.0000 0.0000

Output
Its space-group type is P4/mcc, No. 124. The formation energy is -0.4646 eV/atom.

This record from Alexandria describes CrSb2HI after structural relaxation. The functional is PBE.

Cell lengths 5.0418, 5.0418, 5.8019 Å; angles 90.00, 90.00, 90.00 degrees
Each line ends with the local moment (μB).
Element x y z (fractional)
I: 0.0000 0.0000 0.5000  0.04
Sb: 0.0000 0.5000 0.0000  -0.15
Sb: 0.5000 0.0000 0.0000  -0.15
H: 0.5000 0.5000 0.5000  0.36
Cr: 0.0000 0.0000 0.0000  2.31

Output
The distance to the lowest polymorph of the same formula comes out at 150.4 meV/atom. Its space-group type is P4/mmm, No. 123.

This record from Alexandria describes BaInTe2 after structural relaxation. The functional is PBE.

Cell lengths 8.4139, 5.6240, 4.4900 Å; angles 90.05, 57.67, 122.31 degrees
Element x y z (fractional)
Ba: 0.0000 0.5000 0.5000
In: 0.5000 0.5000 0.0000
Te: 0.0000 0.0000 0.0000
Te: 0.5000 0.0000 0.5000

Output
The value obtained for the energy relative to the elements, uncorrected is -0.8563 eV/atom. Its space-group type is Cmmm, No. 65.

This record from Alexandria describes AcBOs after structural relaxation. The functional is PBE.

Cell lengths 3.1241, 3.1241, 5.8210 Å; angles 105.57, 105.57, 90.00 degrees
Element x y z (fractional)
Ac: 0.0040 0.0040 0.0080
B: 0.7171 0.7171 0.4342
Os: 0.2789 0.2789 0.5578

Output
The distance to the lowest polymorph of the same formula comes out at 534.4 meV/atom. Its space-group type is I4mm, No. 107. The formation energy is 0.3202 eV/atom.

This record from Alexandria describes B5C7 after structural relaxation. The functional is PBE.

Cell lengths 4.5509, 4.4578, 5.2554 Å; angles 100.70, 101.29, 48.50 degrees
Element x y z (fractional)
B: 0.9711 0.9985 0.9870
B: 0.3101 0.6774 0.2876
B: 0.2909 0.3261 0.1184
B: 0.5774 0.1121 0.4082
B: 0.0003 0.0442 0.5458
C: 0.6754 0.6740 0.3341
C: 0.9276 0.4410 0.5883
C: 0.2829 0.7251 0.7502
C: 0.3472 0.3401 0.6741
C: 0.5695 0.0707 0.8966
C: 0.6625 0.6684 0.8309
C: 0.8849 0.4225 0.0789

Output
The distance to the lowest polymorph of the same formula comes out at 163.0 meV/atom. Its space-group type is P1, No. 1. The formation energy is 0.4209 eV/atom.